Record 1
BiBP2: relaxed, PBE.

Output
Raw total energy = -0.29302 Ry per atom
Energy of formation = 1358 meV/atom

a = 4.6519 Å, b = 4.6519 Å, c = 4.6519 Å
α = 60.00°, β = 60.00°, γ = 60.00°
Closest atoms and distances in Å follow each position.
Positions (direct):
Bi 0.0000 0.0000 0.0000  8 P 2.85
B 0.5000 0.5000 0.5000  8 P 2.85
P 0.2500 0.2500 0.2500  4 B 2.85, 4 Bi 2.85
P 0.7500 0.7500 0.7500  4 B 2.85, 4 Bi 2.85

***

Record 2
Ta2Ni3Pt: relaxed, PBE.

Output
Raw total energy = -0.59549 Ry per atom
Energy of formation = -254 meV/atom

a = 6.3733 Å, b = 6.3733 Å, c = 8.1321 Å
α = 118.92°, β = 118.92°, γ = 36.45°
Closest atoms and distances in Å follow each position.
Positions (direct):
Ta 0.0202 0.0202 0.3330  4 Ni 2.52-2.63, 2 Pt 2.76
Ta 0.2930 0.2930 0.6520  4 Ni 2.58-2.59, 2 Pt 2.79
Ta 0.7070 0.7070 0.3480  4 Ni 2.58-2.59, 2 Pt 2.79
Ta 0.9798 0.9798 0.6670  4 Ni 2.52-2.63, 2 Pt 2.76
Ni 0.1198 0.1198 0.1114  8 Ni 2.52-2.81, 3 Ta 2.59-2.63, 1 Pt 2.64
Ni 0.2213 0.2213 0.9025  4 Ni 2.42-2.55, 2 Ta 2.55-2.59, 2 Pt 2.68
Ni 0.4624 0.4624 0.1148  4 Ni 2.46-2.55, 3 Ta 2.52-2.58, 1 Pt 2.69
Ni 0.5376 0.5376 0.8852  4 Ni 2.46-2.55, 3 Ta 2.52-2.58, 1 Pt 2.69
Ni 0.7787 0.7787 0.0975  4 Ni 2.42-2.55, 2 Ta 2.55-2.59, 2 Pt 2.68
Ni 0.8802 0.8802 0.8886  8 Ni 2.52-2.81, 3 Ta 2.59-2.63, 1 Pt 2.64
Pt 0.3701 0.3701 0.3538  4 Ni 2.64-2.69, 4 Ta 2.76-2.79, 1 Pt 2.82
Pt 0.6299 0.6299 0.6462  4 Ni 2.64-2.69, 4 Ta 2.76-2.79, 1 Pt 2.82

***

Record 3
LaSm5Dy3: relaxed, PBE.

Output
Raw total energy = -0.31610 Ry per atom
Energy of formation = 403 meV/atom

a = 9.4710 Å, b = 9.4710 Å, c = 12.3981 Å
α = 126.43°, β = 126.43°, γ = 51.28°
Closest atoms and distances in Å follow each position.
Positions (direct):
La 0.2385 0.2385 0.1373  2 Dy 3.22-3.40, 1 Sm 3.34
La 0.7615 0.7615 0.8627  2 Dy 3.22-3.40, 1 Sm 3.34
Sm 0.1312 0.1312 0.5743  6 Sm 3.38-3.77, 2 Dy 3.38-3.60
Sm 0.1394 0.7338 0.2231  5 Sm 3.32-3.70, 2 Dy 3.44-3.64, 1 La 3.71
Sm 0.2662 0.8606 0.7769  5 Sm 3.32-3.70, 2 Dy 3.44-3.64, 1 La 3.71
Sm 0.3039 0.3039 0.9360  7 Sm 3.25-3.62, 1 La 3.34
Sm 0.3190 0.6810 0.0000  1 Dy 2.61
Sm 0.6810 0.3190 0.0000  1 Dy 2.61
Sm 0.6961 0.6961 0.0640  7 Sm 3.25-3.62, 1 La 3.34
Sm 0.7338 0.1394 0.2231  5 Sm 3.32-3.70, 2 Dy 3.44-3.64, 1 La 3.71
Sm 0.8606 0.2662 0.7769  5 Sm 3.32-3.70, 2 Dy 3.44-3.64, 1 La 3.71
Sm 0.8688 0.8688 0.4257  6 Sm 3.38-3.77, 2 Dy 3.38-3.60
Dy 0.0000 0.0000 0.0000  2 Sm 2.61
Dy 0.1714 0.1714 0.3417  2 Dy 3.19-3.31, 1 Sm 3.38, 1 La 3.40
Dy 0.3859 0.3859 0.6840  1 Dy 3.31, 5 Sm 3.36-3.60
Dy 0.5000 0.5000 0.5000  2 La 3.70, 4 Sm 3.74, 2 Dy 3.85
Dy 0.6141 0.6141 0.3160  1 Dy 3.31, 5 Sm 3.36-3.60
Dy 0.8286 0.8286 0.6583  2 Dy 3.19-3.31, 1 Sm 3.38, 1 La 3.40

***

Record 4
SrCuSi3: relaxed, PBE.

Output
Raw total energy = -0.17720 Ry per atom
Raw formation energy = 964 kJ/mol of formula units

a = 5.5097 Å, b = 5.5097 Å, c = 5.5097 Å
α = 90.00°, β = 90.00°, γ = 90.00°
Closest atoms and distances in Å follow each position.
Positions (direct):
Sr 0.0000 0.0000 0.0000  6 Si 2.75
Cu 0.5000 0.5000 0.5000  12 Si 3.90
Si 0.0000 0.0000 0.5000  2 Sr 2.75
Si 0.0000 0.5000 0.0000  2 Sr 2.75
Si 0.5000 0.0000 0.0000  2 Sr 2.75

***

Record 5
TbGdScNi: relaxed, PBE.

Output
Raw total energy = -0.55847 Ry per atom
Energy of formation = 108 meV/atom

a = 5.1033 Å, b = 5.1033 Å, c = 5.1033 Å
α = 60.00°, β = 60.00°, γ = 60.00°
Closest atoms and distances in Å follow each position.
Positions (direct):
Tb 0.0000 0.0000 0.0000  4 Sc 3.13, 4 Ni 3.13
Gd 0.5000 0.5000 0.5000  4 Sc 3.13, 4 Ni 3.13
Sc 0.7500 0.7500 0.7500  4 Gd 3.13, 4 Tb 3.13
Ni 0.2500 0.2500 0.2500  4 Gd 3.13, 4 Tb 3.13

***

Record 6
YSb2Ir2: relaxed, PBE.

Output
Raw total energy = -0.50622 Ry per atom
Raw formation energy = -194 kJ/mol of formula units

a = 5.9471 Å, b = 5.9471 Å, c = 5.9471 Å
α = 133.32°, β = 133.32°, γ = 68.15°
Closest atoms and distances in Å follow each position.
Positions (direct):
Y 0.0000 0.0000 0.0000  8 Sb 3.41, 10 Ir 3.58-3.63
Sb 0.2500 0.7500 0.5000  4 Ir 2.63
Sb 0.7500 0.2500 0.5000  4 Ir 2.63
Ir 0.3685 0.3685 0.0000  1 Ir 2.59, 4 Sb 2.63
Ir 0.6315 0.6315 0.0000  1 Ir 2.59, 4 Sb 2.63